Cs2AgSnSe4: optimized geometry, PBE-GGA.

```
Cs2AgSnSe4
1.0
0.000 7.666 11.741
3.354 0.000 11.741
3.354 7.666 0.000
Cs Ag Sn Se
4 2 2 8
Cartesian
2.515 5.749 1.311
4.192 9.582 7.182
2.515 5.749 16.300
4.192 9.582 22.171
0.838 1.916 2.935
5.869 13.415 20.547
2.515 5.749 8.806
4.192 9.582 14.676
2.618 3.439 4.269
4.090 7.272 10.140
2.413 8.060 4.269
2.413 3.439 13.342
4.295 11.893 10.140
4.295 7.272 19.213
2.618 8.060 13.342
4.090 11.893 19.213
```

Summary:
The density of states at the Fermi level comes out at 2.4 states/eV/f.u. The calculated total energy comes out at -55.63 eV for the cell shown. As for the space-group type: Fddd, No. 70. As for the formation energy without anion corrections: -664.5 meV/atom.